# CsTlCoI4

A relaxed structure of CsTlCoI4 (GGA-PBE, the Alexandria database).

Geometry as extended XYZ:
```
14
Lattice="-5.8255 -5.4041 0.5809 4.6204 -5.4041 -3.9390 5.8383 -1.4204 8.7971" Properties=species:S:1:pos:R:3 pbc="T T T"
Tl 4.6650 -9.5154 5.9472
Tl -0.0318 -2.7132 -0.5082
I 6.9004 -3.8728 5.0046
I 9.2016 -6.5643 3.0429
I -0.0185 -5.7255 3.6403
I 4.6517 -6.5031 1.7987
I -4.5683 -5.6643 2.3962
I 1.7954 -6.5360 -1.5065
I -2.2672 -8.3558 0.4344
I 2.8378 -5.6926 6.9455
Co 0.7315 -6.7301 5.8983
Co 3.9017 -5.4985 -0.4592
Cs 3.0195 -3.2944 3.8685
Cs 1.6137 -8.9342 1.5705
```

Space-group type: No. 11
Raw formation energy in eV per atom: -0.65



# Na3MgIn4

A relaxed structure of Na3MgIn4 (GGA-PBE, the Alexandria database).

Geometry as extended XYZ:
```
8
Lattice="-3.2235 1.7017 -2.8693 -2.3713 -3.9751 0.3066 -2.0711 4.5878 8.7976" Properties=species:S:1:pos:R:3 pbc="T T T"
In -1.1617 0.8217 1.7925
In -6.5042 1.4927 4.4424
In -3.7080 2.6271 5.7238
In -3.9579 -0.3127 0.5111
Mg -1.6118 0.8509 -1.4347
Na -1.1857 -1.9875 0.1533
Na -3.6156 -0.2646 3.9050
Na -4.0503 2.5791 2.3299
```

Space-group type: No. 12
Energy of formation from the pure elements in eV per atom: -0.0916



no.,electronic total energy (eV per atom)
1,-3.013
2,-2.155